[1]
First-principles (PBE) data for a relaxed Th2Si4NiIr3 crystal, as listed in Alexandria via LeMat-Bulk.

Cell and atoms, written as CIF:
```
data_Th2Si4NiIr3
_chemical_formula_sum 'Th2 Si4 Ni1 Ir3'
_cell_length_a 4.193
_cell_length_b 4.193
_cell_length_c 9.848
_cell_angle_alpha 90.00
_cell_angle_beta 90.00
_cell_angle_gamma 90.00
_symmetry_space_group_name_H-M 'P -4 m 2'
_symmetry_Int_Tables_number 115
_symmetry_space_group_name_Hall 'P -4 -2'
loop_
_atom_site_label
_atom_site_fract_x
_atom_site_fract_y
_atom_site_fract_z
Th1 0.000 0.500 0.250
Si1 0.000 0.000 0.000
Si2 0.000 0.500 0.626
Si3 0.500 0.500 0.000
Ni1 0.000 0.000 0.500
Ir1 0.000 0.500 0.873
Ir2 0.500 0.500 0.500
```

Values from the calculation:
DOS(E_F) in states/eV/cell: 8.55
V in A^3/atom: 17.3
Uncorrected formation energy in meV per atom: -1005.0

[2]
First-principles (PBE) data for a relaxed TmZrScPa crystal, as listed in Alexandria via LeMat-Bulk.

Cell and atoms, written as CIF:
```
data_TmZrScPa
_chemical_formula_sum 'Tm4 Zr4 Sc4 Pa4'
_cell_length_a 7.402
_cell_length_b 7.402
_cell_length_c 7.402
_cell_angle_alpha 90.00
_cell_angle_beta 90.00
_cell_angle_gamma 90.00
_symmetry_space_group_name_H-M 'F -4 3 m'
_symmetry_Int_Tables_number 216
_symmetry_space_group_name_Hall 'F -4 2 3'
loop_
_atom_site_label
_atom_site_fract_x
_atom_site_fract_y
_atom_site_fract_z
Tm1 0.000 0.000 0.000
Zr1 0.250 0.250 0.750
Sc1 0.250 0.250 0.250
Pa1 0.000 0.000 0.500
```

Values from the calculation:
Calculated formation energy in eV per atom: 0.21
DOS(E_F) in states/eV/cell: 30.84
V in A^3/atom: 25.3

[3]
First-principles (PBE) data for a relaxed SnPt3Rh crystal, as listed in Alexandria via LeMat-Bulk.

Cell and atoms, written as CIF:
```
data_SnPt3Rh
_chemical_formula_sum 'Sn1 Pt3 Rh1'
_cell_length_a 4.891
_cell_length_b 4.891
_cell_length_c 4.891
_cell_angle_alpha 90.00
_cell_angle_beta 90.00
_cell_angle_gamma 90.00
_symmetry_space_group_name_H-M 'P m -3 m'
_symmetry_Int_Tables_number 221
_symmetry_space_group_name_Hall '-P 4 2 3'
loop_
_atom_site_label
_atom_site_fract_x
_atom_site_fract_y
_atom_site_fract_z
Sn1 0.000 0.000 0.000
Pt1 0.000 0.000 0.500
Rh1 0.500 0.500 0.500
```

Values from the calculation:
E above lowest polymorph in meV/atom: 1549
Calculated formation energy in eV per atom: 1.30
DOS(E_F) in states/eV/cell: 9.05
V in A^3/atom: 23.4

[4]
First-principles (PBE) data for a relaxed Pr3Ni3I crystal, as listed in Alexandria via LeMat-Bulk.

Cell and atoms, written as CIF:
```
data_Pr3Ni3I
_chemical_formula_sum 'Pr6 Ni6 I2'
_cell_length_a 9.8184
_cell_length_b 9.8184
_cell_length_c 4.1857
_cell_angle_alpha 90.00
_cell_angle_beta 90.00
_cell_angle_gamma 120.00
_symmetry_space_group_name_H-M 'P 63/m'
_symmetry_Int_Tables_number 176
_symmetry_space_group_name_Hall '-P 6c'
loop_
_atom_site_label
_atom_site_fract_x
_atom_site_fract_y
_atom_site_fract_z
Pr1 0.0645 0.3659 0.2500
Ni1 0.0233 0.1555 0.7500
I1 0.3333 0.6667 0.7500
```

Values from the calculation:
DOS(E_F) in states/eV/cell: 10.48
V in A^3/atom: 25.0
Uncorrected formation energy in meV per atom: -481.7

[5]
First-principles (PBE) data for a relaxed Tm5InSe4 crystal, as listed in Alexandria via LeMat-Bulk.

Cell and atoms, written as CIF:
```
data_Tm5InSe4
_chemical_formula_sum 'Tm10 In2 Se8'
_cell_length_a 9.167
_cell_length_b 9.167
_cell_length_c 5.783
_cell_angle_alpha 90.00
_cell_angle_beta 90.00
_cell_angle_gamma 90.00
_symmetry_space_group_name_H-M 'I 4/m'
_symmetry_Int_Tables_number 87
_symmetry_space_group_name_Hall '-I 4'
loop_
_atom_site_label
_atom_site_fract_x
_atom_site_fract_y
_atom_site_fract_z
Tm1 0.000 0.000 0.000
Tm2 0.100 0.697 0.500
In1 0.000 0.000 0.500
Se1 0.100 0.698 0.000
```

Values from the calculation:
DOS(E_F) in states/eV/cell: 6.51
V in A^3/atom: 24.3
Uncorrected formation energy in meV per atom: -1411.4

[6]
First-principles (PBE) data for a relaxed Pm5Si2Bi crystal, as listed in Alexandria via LeMat-Bulk.

Cell and atoms, written as CIF:
```
data_Pm5Si2Bi
_chemical_formula_sum 'Pm20 Si8 Bi4'
_cell_length_a 7.973
_cell_length_b 7.973
_cell_length_c 14.268
_cell_angle_alpha 90.00
_cell_angle_beta 90.00
_cell_angle_gamma 90.00
_symmetry_space_group_name_H-M 'I 4/m c m'
_symmetry_Int_Tables_number 140
_symmetry_space_group_name_Hall '-I 4 2c'
loop_
_atom_site_label
_atom_site_fract_x
_atom_site_fract_y
_atom_site_fract_z
Pm1 0.000 0.000 0.000
Pm2 0.163 0.337 0.137
Si1 0.134 0.366 0.500
Bi1 0.000 0.000 0.250
```

Values from the calculation:
DOS(E_F) in states/eV/cell: 36.98
V in A^3/atom: 28.3
Uncorrected formation energy in meV per atom: -664.7

[7]
First-principles (PBE) data for a relaxed CrTe2I crystal, as listed in Alexandria via LeMat-Bulk.

Cell and atoms, written as CIF:
```
data_CrTe2I
_chemical_formula_sum 'Cr2 Te4 I2'
_cell_length_a 6.384
_cell_length_b 6.534
_cell_length_c 7.119
_cell_angle_alpha 76.42
_cell_angle_beta 78.41
_cell_angle_gamma 63.52
_symmetry_space_group_name_H-M 'P 1'
_symmetry_Int_Tables_number 1
_symmetry_space_group_name_Hall 'P 1'
loop_
_atom_site_label
_atom_site_fract_x
_atom_site_fract_y
_atom_site_fract_z
Cr1 0.000 0.000 0.000
Cr2 0.206 0.144 0.972
Te1 0.216 0.874 0.312
Te2 0.597 0.811 0.811
Te3 0.866 0.091 0.645
Te4 0.952 0.576 0.075
I1 0.206 0.348 0.598
I2 0.580 0.277 0.116
```

Values from the calculation:
E above lowest polymorph in meV/atom: 269
DOS(E_F) in states/eV/cell: 0.00
V in A^3/atom: 32.1
Uncorrected formation energy in meV per atom: 56.4

[8]
First-principles (PBE) data for a relaxed Ac2HgPO6 crystal, as listed in Alexandria via LeMat-Bulk.

Cell and atoms, written as CIF:
```
data_Ac2HgPO6
_chemical_formula_sum 'Ac2 Hg1 P1 O6'
_cell_length_a 5.771
_cell_length_b 5.771
_cell_length_c 4.793
_cell_angle_alpha 90.00
_cell_angle_beta 90.00
_cell_angle_gamma 90.00
_symmetry_space_group_name_H-M 'P 4 m m'
_symmetry_Int_Tables_number 99
_symmetry_space_group_name_Hall 'P 4 -2'
loop_
_atom_site_label
_atom_site_fract_x
_atom_site_fract_y
_atom_site_fract_z
Ac1 0.000 0.500 0.000
Hg1 0.000 0.000 0.504
P1 0.500 0.500 0.615
O1 0.000 0.000 0.020
O2 0.301 0.301 0.712
O3 0.500 0.500 0.285
```

Values from the calculation:
DOS(E_F) in states/eV/cell: 1.02
V in A^3/atom: 16.0
Uncorrected formation energy in meV per atom: -2308.4

[9]
First-principles (PBE) data for a relaxed YAl2Co crystal, as listed in Alexandria via LeMat-Bulk.

Cell and atoms, written as CIF:
```
data_YAl2Co
_chemical_formula_sum 'Y2 Al4 Co2'
_cell_length_a 4.080
_cell_length_b 3.301
_cell_length_c 11.027
_cell_angle_alpha 90.00
_cell_angle_beta 90.00
_cell_angle_gamma 90.00
_symmetry_space_group_name_H-M 'A m m 2'
_symmetry_Int_Tables_number 38
_symmetry_space_group_name_Hall 'A 2 -2'
loop_
_atom_site_label
_atom_site_fract_x
_atom_site_fract_y
_atom_site_fract_z
Y1 0.000 0.000 0.000
Al1 0.000 0.000 0.269
Al2 0.500 0.000 0.695
Co1 0.500 0.000 0.378
```

Values from the calculation:
Calculated formation energy in eV per atom: -0.19
DOS(E_F) in states/eV/cell: 6.11
V in A^3/atom: 18.6

[10]
First-principles (PBE) data for a relaxed Ta2PtCl crystal, as listed in Alexandria via LeMat-Bulk.

Cell and atoms, written as CIF:
```
data_Ta2PtCl
_chemical_formula_sum 'Ta4 Pt2 Cl2'
_cell_length_a 8.435
_cell_length_b 2.846
_cell_length_c 5.817
_cell_angle_alpha 90.00
_cell_angle_beta 99.44
_cell_angle_gamma 90.00
_symmetry_space_group_name_H-M 'C 1 2/m 1'
_symmetry_Int_Tables_number 12
_symmetry_space_group_name_Hall '-C 2y'
loop_
_atom_site_label
_atom_site_fract_x
_atom_site_fract_y
_atom_site_fract_z
Ta1 0.250 0.000 0.245
Pt1 0.000 0.000 0.500
Cl1 0.000 0.500 0.000
```

Values from the calculation:
E above lowest polymorph in meV/atom: 305
DOS(E_F) in states/eV/cell: 5.95
V in A^3/atom: 17.2
Uncorrected formation energy in meV per atom: 19.1

[11]
First-principles (PBE) data for a relaxed Al2CoSb crystal, as listed in Alexandria via LeMat-Bulk.

Cell and atoms, written as CIF:
```
data_Al2CoSb
_chemical_formula_sum 'Al4 Co2 Sb2'
_cell_length_a 5.228
_cell_length_b 10.111
_cell_length_c 3.079
_cell_angle_alpha 90.00
_cell_angle_beta 122.65
_cell_angle_gamma 90.00
_symmetry_space_group_name_H-M 'C 1 2/m 1'
_symmetry_Int_Tables_number 12
_symmetry_space_group_name_Hall '-C 2y'
loop_
_atom_site_label
_atom_site_fract_x
_atom_site_fract_y
_atom_site_fract_z
Al1 0.250 0.250 0.000
Co1 0.000 0.000 0.000
Sb1 0.000 0.500 0.000
```

Values from the calculation:
DOS(E_F) in states/eV/cell: 5.92
V in A^3/atom: 17.1
Uncorrected formation energy in meV per atom: 223.6

Question: What is the DOS(E_F) in the second record?
Answer: 30.84 states/eV/cell

Question: Which value of DOS(E_F) does entry 7 give?
Answer: 0.00 states/eV/cell

Question: Which formula does entry 3 have?
Answer: SnPt3Rh